--- A ---
Below is a geometry-optimized Tb7Sm4Y structure, with properties calculated at the PBE level.

Structure (CIF):
```
data_Tb7Sm4Y
_chemical_formula_sum 'Tb7 Sm4 Y1'
_symmetry_space_group_name_H-M 'P 1'
_symmetry_Int_Tables_number 1
_cell_length_a 6.554
_cell_length_b 6.851
_cell_length_c 9.103
_cell_angle_alpha 85.98
_cell_angle_beta 77.36
_cell_angle_gamma 82.35
loop_
_symmetry_equiv_pos_as_xyz
'x,y,z'
loop_
_atom_site_label
_atom_site_fract_x
_atom_site_fract_y
_atom_site_fract_z
_atom_site_occupancy
Tb1 0.000 0.000 0.000 1
Tb2 0.190 0.606 0.385 1
Tb3 0.316 0.200 0.640 1
Tb4 0.487 0.748 0.052 1
Tb5 0.513 0.252 0.948 1
Tb6 0.684 0.800 0.360 1
Tb7 0.810 0.394 0.615 1
Sm1 0.158 0.115 0.309 1
Sm2 0.362 0.693 0.717 1
Sm3 0.638 0.307 0.283 1
Sm4 0.842 0.885 0.691 1
Y1 0.000 0.500 0.000 1
```

Computed properties:
The calculation puts the magnetic moment at 0.00 μB per formula unit.

***

--- B ---
Below is a geometry-optimized Tb7Sm4Y structure, with properties calculated at the PBE level.

Structure (CIF):
```
data_Tb7Sm4Y
_chemical_formula_sum 'Tb7 Sm4 Y1'
_symmetry_space_group_name_H-M 'P 1'
_symmetry_Int_Tables_number 1
_cell_length_a 6.743
_cell_length_b 6.743
_cell_length_c 12.774
_cell_angle_alpha 115.05
_cell_angle_beta 115.05
_cell_angle_gamma 52.31
loop_
_symmetry_equiv_pos_as_xyz
'x,y,z'
loop_
_atom_site_label
_atom_site_fract_x
_atom_site_fract_y
_atom_site_fract_z
_atom_site_occupancy
Tb1 0.000 0.000 0.000 1
Tb2 0.210 0.210 0.923 1
Tb3 0.246 0.246 0.681 1
Tb4 0.366 0.366 0.498 1
Tb5 0.634 0.634 0.502 1
Tb6 0.754 0.754 0.319 1
Tb7 0.790 0.790 0.077 1
Sm1 0.060 0.060 0.325 1
Sm2 0.361 0.361 0.223 1
Sm3 0.639 0.639 0.777 1
Sm4 0.940 0.940 0.675 1
Y1 0.500 0.500 0.000 1
```

Computed properties:
The calculation puts the magnetic moment at 0.03 μB per formula unit.

***

Verdict on stability: A comes out on top.

***

--- A ---
Below is a geometry-optimized TbSm6Y12 structure, with properties calculated at the PBE level.

Structure (CIF):
```
data_TbSm6Y12
_chemical_formula_sum 'Tb1 Sm6 Y12'
_symmetry_space_group_name_H-M 'P 1'
_symmetry_Int_Tables_number 1
_cell_length_a 8.697
_cell_length_b 8.697
_cell_length_c 8.697
_cell_angle_alpha 79.80
_cell_angle_beta 79.80
_cell_angle_gamma 79.80
loop_
_symmetry_equiv_pos_as_xyz
'x,y,z'
loop_
_atom_site_label
_atom_site_fract_x
_atom_site_fract_y
_atom_site_fract_z
_atom_site_occupancy
Tb1 0.000 0.000 0.000 1
Sm1 0.163 0.771 0.771 1
Sm2 0.229 0.229 0.837 1
Sm3 0.229 0.837 0.229 1
Sm4 0.771 0.163 0.771 1
Sm5 0.771 0.771 0.163 1
Sm6 0.837 0.229 0.229 1
Y1 0.136 0.136 0.485 1
Y2 0.136 0.485 0.136 1
Y3 0.196 0.516 0.516 1
Y4 0.484 0.484 0.804 1
Y5 0.484 0.804 0.484 1
Y6 0.485 0.136 0.136 1
Y7 0.515 0.864 0.864 1
Y8 0.516 0.196 0.516 1
Y9 0.516 0.516 0.196 1
Y10 0.804 0.484 0.484 1
Y11 0.864 0.515 0.864 1
Y12 0.864 0.864 0.515 1
```

Computed properties:
The calculation puts the magnetic moment at 0.00 μB per formula unit.

***

--- B ---
Below is a geometry-optimized TbSm6Y12 structure, with properties calculated at the PBE level.

Structure (CIF):
```
data_TbSm6Y12
_chemical_formula_sum 'Tb1 Sm6 Y12'
_symmetry_space_group_name_H-M 'P 1'
_symmetry_Int_Tables_number 1
_cell_length_a 8.773
_cell_length_b 8.773
_cell_length_c 8.773
_cell_angle_alpha 99.08
_cell_angle_beta 99.08
_cell_angle_gamma 99.08
loop_
_symmetry_equiv_pos_as_xyz
'x,y,z'
loop_
_atom_site_label
_atom_site_fract_x
_atom_site_fract_y
_atom_site_fract_z
_atom_site_occupancy
Tb1 0.000 0.000 0.000 1
Sm1 0.098 0.098 0.658 1
Sm2 0.098 0.658 0.098 1
Sm3 0.342 0.902 0.902 1
Sm4 0.658 0.098 0.098 1
Sm5 0.902 0.342 0.902 1
Sm6 0.902 0.902 0.342 1
Y1 0.082 0.353 0.353 1
Y2 0.241 0.500 0.759 1
Y3 0.241 0.759 0.500 1
Y4 0.353 0.082 0.353 1
Y5 0.353 0.353 0.082 1
Y6 0.500 0.241 0.759 1
Y7 0.500 0.759 0.241 1
Y8 0.647 0.647 0.918 1
Y9 0.647 0.918 0.647 1
Y10 0.759 0.241 0.500 1
Y11 0.759 0.500 0.241 1
Y12 0.918 0.647 0.647 1
```

Computed properties:
The calculation puts the magnetic moment at 0.00 μB per formula unit.

***

Verdict on stability: A comes out on top.

***

--- A ---
Below is a geometry-optimized Tb2Sm4Y3 structure, with properties calculated at the PBE level.

Structure (CIF):
```
data_Tb2Sm4Y3
_chemical_formula_sum 'Tb2 Sm4 Y3'
_symmetry_space_group_name_H-M 'P 1'
_symmetry_Int_Tables_number 1
_cell_length_a 8.033
_cell_length_b 8.033
_cell_length_c 8.036
_cell_angle_alpha 107.35
_cell_angle_beta 107.35
_cell_angle_gamma 36.91
loop_
_symmetry_equiv_pos_as_xyz
'x,y,z'
loop_
_atom_site_label
_atom_site_fract_x
_atom_site_fract_y
_atom_site_fract_z
_atom_site_occupancy
Tb1 0.055 0.055 0.334 1
Tb2 0.945 0.945 0.666 1
Sm1 0.167 0.167 0.001 1
Sm2 0.278 0.278 0.666 1
Sm3 0.722 0.722 0.334 1
Sm4 0.833 0.833 0.999 1
Y1 0.390 0.390 0.333 1
Y2 0.500 0.500 0.000 1
Y3 0.610 0.610 0.667 1
```

Computed properties:
The calculation puts the magnetic moment at 0.00 μB per formula unit.

***

--- B ---
Below is a geometry-optimized Tb2Sm4Y3 structure, with properties calculated at the PBE level.

Structure (CIF):
```
data_Tb2Sm4Y3
_chemical_formula_sum 'Tb4 Sm8 Y6'
_symmetry_space_group_name_H-M 'P 1'
_symmetry_Int_Tables_number 1
_cell_length_a 10.060
_cell_length_b 10.060
_cell_length_c 6.195
_cell_angle_alpha 94.90
_cell_angle_beta 94.90
_cell_angle_gamma 71.24
loop_
_symmetry_equiv_pos_as_xyz
'x,y,z'
loop_
_atom_site_label
_atom_site_fract_x
_atom_site_fract_y
_atom_site_fract_z
_atom_site_occupancy
Tb1 0.020 0.742 0.682 1
Tb2 0.258 0.980 0.818 1
Tb3 0.742 0.020 0.182 1
Tb4 0.980 0.258 0.318 1
Sm1 0.071 0.355 0.847 1
Sm2 0.312 0.594 0.986 1
Sm3 0.355 0.071 0.347 1
Sm4 0.406 0.688 0.514 1
Sm5 0.594 0.312 0.486 1
Sm6 0.645 0.929 0.653 1
Sm7 0.688 0.406 0.014 1
Sm8 0.929 0.645 0.153 1
Y1 0.099 0.901 0.250 1
Y2 0.233 0.432 0.420 1
Y3 0.432 0.233 0.920 1
Y4 0.568 0.767 0.080 1
Y5 0.767 0.568 0.580 1
Y6 0.901 0.099 0.750 1
```

Computed properties:
The calculation puts the magnetic moment at 0.00 μB per formula unit.

***

Verdict on stability: A comes out on top.

***

--- A ---
Below is a geometry-optimized TbSm4Y6 structure, with properties calculated at the PBE level.

Structure (CIF):
```
data_TbSm4Y6
_chemical_formula_sum 'Tb1 Sm4 Y6'
_symmetry_space_group_name_H-M 'P 1'
_symmetry_Int_Tables_number 1
_cell_length_a 10.964
_cell_length_b 10.964
_cell_length_c 3.587
_cell_angle_alpha 90.00
_cell_angle_beta 90.00
_cell_angle_gamma 120.00
loop_
_symmetry_equiv_pos_as_xyz
'x,y,z'
loop_
_atom_site_label
_atom_site_fract_x
_atom_site_fract_y
_atom_site_fract_z
_atom_site_occupancy
Tb1 0.000 0.000 0.000 1
Sm1 0.320 0.160 0.500 1
Sm2 0.333 0.667 0.000 1
Sm3 0.840 0.160 0.500 1
Sm4 0.840 0.680 0.500 1
Y1 0.183 0.366 0.500 1
Y2 0.183 0.817 0.500 1
Y3 0.520 0.041 0.000 1
Y4 0.520 0.480 0.000 1
Y5 0.634 0.817 0.500 1
Y6 0.959 0.480 0.000 1
```

Computed properties:
The calculation puts the magnetic moment at 0.00 μB per formula unit.

***

--- B ---
Below is a geometry-optimized TbSm4Y6 structure, with properties calculated at the PBE level.

Structure (CIF):
```
data_TbSm4Y6
_chemical_formula_sum 'Tb2 Sm8 Y12'
_symmetry_space_group_name_H-M 'P 1'
_symmetry_Int_Tables_number 1
_cell_length_a 5.645
_cell_length_b 5.645
_cell_length_c 25.923
_cell_angle_alpha 90.00
_cell_angle_beta 90.00
_cell_angle_gamma 118.54
loop_
_symmetry_equiv_pos_as_xyz
'x,y,z'
loop_
_atom_site_label
_atom_site_fract_x
_atom_site_fract_y
_atom_site_fract_z
_atom_site_occupancy
Tb1 0.182 0.818 0.750 1
Tb2 0.818 0.182 0.250 1
Sm1 0.157 0.843 0.044 1
Sm2 0.157 0.843 0.456 1
Sm3 0.471 0.529 0.122 1
Sm4 0.471 0.529 0.378 1
Sm5 0.529 0.471 0.622 1
Sm6 0.529 0.471 0.878 1
Sm7 0.843 0.157 0.544 1
Sm8 0.843 0.157 0.956 1
Y1 0.146 0.854 0.182 1
Y2 0.146 0.854 0.318 1
Y3 0.189 0.811 0.605 1
Y4 0.189 0.811 0.895 1
Y5 0.484 0.516 0.250 1
Y6 0.500 0.500 0.000 1
Y7 0.500 0.500 0.500 1
Y8 0.516 0.484 0.750 1
Y9 0.811 0.189 0.105 1
Y10 0.811 0.189 0.395 1
Y11 0.854 0.146 0.682 1
Y12 0.854 0.146 0.818 1
```

Computed properties:
The calculation puts the magnetic moment at 0.00 μB per formula unit.

***

Verdict on stability: B comes out on top.